Computed, not measured: a geometry-optimized CsAgMoO4 structure at the GGA+U level of DFT.

Results
* space group: F-43m (216)
* uncorrected energy: -5.76 eV per atom

Structure (CIF):
```
data_CsAgMoO4
_chemical_formula_sum 'Cs1 Ag1 Mo1 O4'
_space_group_name_H-M_alt 'P 1'
_space_group_IT_number 1
_cell_length_a 6.5997
_cell_length_b 6.5997
_cell_length_c 6.5997
_cell_angle_alpha 60.00
_cell_angle_beta 60.00
_cell_angle_gamma 60.00
loop_
_space_group_symop_operation_xyz
'x,y,z'
loop_
_atom_site_label
_atom_site_fract_x
_atom_site_fract_y
_atom_site_fract_z
_atom_site_occupancy
Cs1 0.0000 0.0000 0.0000 1
Ag1 0.2500 0.2500 0.2500 1
Mo1 0.5000 0.5000 0.5000 1
O1 0.3889 0.3889 0.3889 1
O2 0.3889 0.3889 0.8334 1
O3 0.3889 0.8334 0.3889 1
O4 0.8334 0.3889 0.3889 1
```